## KTcO3 (GGA-PBE)

Data for an optimized crystal structure of KTcO3.

Computed properties:
Formation energy from raw total energies = -1444 meV/atom
M_tot = 0.00 μB/cell
Uncorrected energy = -6.711 eV per atom

```
KTcO3
1.0
2.8908 0.0000 0.0000
0.0000 3.4862 5.7058
0.0000 -3.4862 5.7058
K Tc O
1 1 3
direct
0.0000 0.0000 0.0000
0.5000 0.3429 0.3429
0.0000 0.2244 0.5712
0.0000 0.5712 0.2244
0.5000 0.1908 0.1908
```